A geometry-optimized AcTbFe2O6 structure, computed with GGA+U.

Output
For the total energy, the calculation gives -0.274 hartree per atom. The calculation puts the total magnetization at 10.0 μB per cell. As for the calculated volume: 12.49 Å³ per atom.

Structure (POSCAR):
```
AcTbFe2O6
1.0
3.963 -3.960 0.000
3.963 3.960 0.000
-3.962 0.000 3.980
Ac Tb Fe O
1 1 2 6
direct
0.000 0.000 0.000
0.518 0.518 0.049
0.247 0.748 0.504
0.748 0.247 0.504
0.072 0.454 0.996
0.454 0.072 0.996
0.496 0.496 0.617
0.531 0.935 0.476
0.935 0.531 0.476
0.956 0.956 0.387
```